## Zr4GaS8 (PBE)

Data for an optimized crystal structure of Zr4GaS8.

Summary:
- Raw total energy: -88.529 eV per formula unit
- Raw formation energy: -1.41 eV per atom
- SG: R-3m, No. 166

Unit cell a=8.2173 b=8.2173 c=8.2173 alpha=52.75 beta=52.75 gamma=52.75
With the nearest neighbours (Å) after each atom.
Positions (direct):
Zr: 0.0000 0.0000 0.0000  6 S 2.60
Zr: 0.0000 0.5000 0.5000  6 S 2.58-2.60
Zr: 0.5000 0.0000 0.5000  6 S 2.58-2.60
Zr: 0.5000 0.5000 0.0000  6 S 2.58-2.60
Ga: 0.5000 0.5000 0.5000  6 S 2.91
S: 0.2385 0.2385 0.7381  3 Zr 2.60
S: 0.2385 0.7381 0.2385  3 Zr 2.60
S: 0.2619 0.7615 0.7615  3 Zr 2.60
S: 0.2633 0.2633 0.2633  3 Zr 2.58
S: 0.7367 0.7367 0.7367  3 Zr 2.58
S: 0.7381 0.2385 0.2385  3 Zr 2.60
S: 0.7615 0.2619 0.7615  3 Zr 2.60
S: 0.7615 0.7615 0.2619  3 Zr 2.60


## Ag3Bi (PBE)

Data for an optimized crystal structure of Ag3Bi.

Summary:
- Raw total energy: -12.153 eV per formula unit
- E_form: 0.071 eV per atom
- SG: Pm-3m, No. 221

Unit cell a=4.3880 b=4.3880 c=4.3880 alpha=90.00 beta=90.00 gamma=90.00
With the nearest neighbours (Å) after each atom.
Positions (direct):
Ag: 0.0000 0.0000 0.5000  4 Bi 3.10, 8 Ag 3.10
Ag: 0.0000 0.5000 0.0000  4 Bi 3.10, 8 Ag 3.10
Ag: 0.5000 0.0000 0.0000  4 Bi 3.10, 8 Ag 3.10
Bi: 0.5000 0.5000 0.5000  12 Ag 3.10


## Tm2AlGe2Ir5 (PBE)

Data for an optimized crystal structure of Tm2AlGe2Ir5.

Summary:
- Raw total energy: -73.353 eV per formula unit
- E_form: -0.713 eV per atom
- SG: P4/mbm, No. 127

Unit cell a=9.6477 b=9.6477 c=3.5944 alpha=90.00 beta=90.00 gamma=90.00
With the nearest neighbours (Å) after each atom.
Positions (direct):
Tm: 0.1733 0.3267 0.0000  3 Ge 2.73-2.93, 2 Ir 2.97
Tm: 0.3267 0.8267 0.0000  3 Ge 2.73-2.93, 2 Ir 2.97
Tm: 0.6733 0.1733 0.0000  3 Ge 2.73-2.93, 2 Ir 2.97
Tm: 0.8267 0.6733 0.0000  3 Ge 2.73-2.93, 2 Ir 2.97
Al: 0.0000 0.0000 0.0000  8 Ir 2.73
Al: 0.5000 0.5000 0.0000  8 Ir 2.73
Ge: 0.1266 0.6266 0.0000  6 Ir 2.49-2.50, 1 Tm 2.73
Ge: 0.3734 0.1266 0.0000  6 Ir 2.49-2.50, 1 Tm 2.73
Ge: 0.6266 0.8734 0.0000  6 Ir 2.49-2.50, 1 Tm 2.73
Ge: 0.8734 0.3734 0.0000  6 Ir 2.49-2.50, 1 Tm 2.73
Ir: 0.0000 0.5000 0.5000  4 Ge 2.49
Ir: 0.0649 0.7966 0.5000  2 Ge 2.50, 2 Al 2.73
Ir: 0.2034 0.0649 0.5000  2 Ge 2.50, 2 Al 2.73
Ir: 0.2966 0.5649 0.5000  2 Ge 2.50, 2 Al 2.73
Ir: 0.4351 0.2966 0.5000  2 Ge 2.50, 2 Al 2.73
Ir: 0.5000 0.0000 0.5000  4 Ge 2.49
Ir: 0.5649 0.7034 0.5000  2 Ge 2.50, 2 Al 2.73
Ir: 0.7034 0.4351 0.5000  2 Ge 2.50, 2 Al 2.73
Ir: 0.7966 0.9351 0.5000  2 Ge 2.50, 2 Al 2.73
Ir: 0.9351 0.2034 0.5000  2 Ge 2.50, 2 Al 2.73